First-principles (GGA-PBE) data for Ac3Ga4Sn4 after structural relaxation, as listed in the Alexandria database.

Cell: 14.9475 14.9475 14.9475 Å, 162.83 161.60 25.27°
Last column: nearest neighbours and their distance in Å.
Atoms (fractional coordinates):
Ac (0.0000, 0.0000, 0.0000)  8 Ga 3.50, 4 Sn 3.62
Ac (0.1443, 0.6443, 0.5000)  6 Ga 3.51-3.81, 6 Sn 3.59-3.73
Ac (0.8557, 0.3557, 0.5000)  6 Ga 3.51-3.81, 6 Sn 3.59-3.73
Ga (0.3119, 0.8119, 0.5000)  5 Sn 2.76-2.94
Ga (0.4573, 0.4573, 0.0000)  1 Ga 2.49, 2 Sn 2.68
Ga (0.5427, 0.5427, 0.0000)  1 Ga 2.49, 2 Sn 2.68
Ga (0.6881, 0.1881, 0.5000)  5 Sn 2.76-2.94
Sn (0.2470, 0.2470, 0.0000)  4 Ga 2.93-2.94, 4 Sn 3.27
Sn (0.4066, 0.9066, 0.5000)  3 Ga 2.68-2.76
Sn (0.5934, 0.0934, 0.5000)  3 Ga 2.68-2.76
Sn (0.7530, 0.7530, 0.0000)  4 Ga 2.93-2.94, 4 Sn 3.27

Density of states at the Fermi level: 0.451 states/eV per atom
Total magnetization: 0.000 μB/f.u.
Uncorrected energy: -4.1411 eV per atom
SG: No. 71
Energy of formation from the pure elements: -0.46 eV/atom